Entry from Alexandria: crystalline HoCu2Sn at its relaxed geometry (PBE).

Unit cell a=4.4079 b=4.4079 c=3.9301 alpha=90.00 beta=90.00 gamma=90.00
Space group P4/mmm (No. 123)
Unique sites:
Ho1 0.0000 0.0000 0.0000 x1
Cu1 0.0000 0.5000 0.5000 x2
Sn1 0.5000 0.5000 0.0000 x1

Computed properties:
Mass density in Mg/m³: 8.93
Energy in eV/atom: -4.4099
Formation energy from the elements in eV per atom: -0.22
Spin magnetization in μB per formula unit: 0.0

Entry from Alexandria: crystalline Ho4CuSn at its relaxed geometry (PBE).

Unit cell a=7.2449 b=7.2109 c=6.8348 alpha=90.00 beta=93.79 gamma=90.00
Space group P2_1/c (No. 14)
Unique sites:
Ho1 0.1461 0.1662 0.1780 x4
Ho2 0.3236 0.6459 0.1149 x4
Cu1 0.0000 0.0000 0.5000 x2
Sn1 0.5000 0.0000 0.0000 x2

Computed properties:
Mass density in Mg/m³: 7.85
Energy in eV/atom: -4.5262
Formation energy from the elements in eV per atom: -0.12
Spin magnetization in μB per formula unit: 0.0

Entry from Alexandria: crystalline Ho3Cu4Sn4 at its relaxed geometry (PBE).

Unit cell a=4.4626 b=6.9451 c=14.7034 alpha=90.00 beta=90.00 gamma=90.00
Space group Immm (No. 71)
Unique sites:
Ho1 0.0000 0.0000 0.0000 x2
Ho2 0.0000 0.5000 0.1311 x4
Cu1 0.0000 0.3115 0.3293 x8
Sn1 0.0000 0.0000 0.2161 x4
Sn2 0.0000 0.2034 0.5000 x4

Computed properties:
Mass density in Mg/m³: 8.92
Energy in eV/atom: -4.6965
Formation energy from the elements in eV per atom: -0.50
Spin magnetization in μB per formula unit: 0.0

Entry from Alexandria: crystalline HoCuSnTe3 at its relaxed geometry (PBE).

Unit cell a=9.0624 b=4.2557 c=9.5781 alpha=90.00 beta=104.49 gamma=90.00
Space group P2_1/m (No. 11)
Unique sites:
Ho1 0.1750 0.2500 0.1699 x2
Cu1 0.4250 0.7500 0.4265 x2
Sn1 0.3162 0.7500 0.7630 x2
Te1 0.0707 0.2500 0.8354 x2
Te2 0.2713 0.2500 0.4952 x2
Te3 0.4061 0.7500 0.1361 x2

Computed properties:
Mass density in Mg/m³: 6.78
Energy in eV/atom: -4.3322
Spin magnetization in μB per formula unit: 0.0

Entry from Alexandria: crystalline HoTmCuSn at its relaxed geometry (PBE).

Unit cell a=7.2065 b=7.2065 c=7.2065 alpha=90.00 beta=90.00 gamma=90.00
Space group F-43m (No. 216)
Unique sites:
Ho1 0.0000 0.0000 0.0000 x4
Tm1 0.0000 0.0000 0.5000 x4
Cu1 0.2500 0.2500 0.7500 x4
Sn1 0.2500 0.2500 0.2500 x4

Computed properties:
Mass density in Mg/m³: 9.16
Energy in eV/atom: -4.7035
Formation energy from the elements in eV per atom: -0.42
Spin magnetization in μB per formula unit: 0.0

Entry from Alexandria: crystalline SrHoCu2 at its relaxed geometry (PBE).

Unit cell a=3.6096 b=3.6096 c=7.2645 alpha=90.00 beta=90.00 gamma=90.00
Space group P4/mmm (No. 123)
Unique sites:
Sr1 0.0000 0.0000 0.0000 x1
Ho1 0.0000 0.0000 0.5000 x1
Cu1 0.5000 0.5000 0.3059 x2

Computed properties:
Mass density in Mg/m³: 6.66
Distance to the lowest polymorph of the same formula in meV per atom: 0
Energy in eV/atom: -3.7372
Formation energy from the elements in eV per atom: -0.12
Spin magnetization in μB per formula unit: 0.0